Record 1
This record from the Alexandria database describes a relaxed Tl4PbAu5 crystal. The functional is GGA-PBE.

abc: 5.8879 6.1634 7.5564
angles: 91.26 107.67 105.69
Last column: nearest neighbours and their distance in Å.
Space group P1 (No. 1)
One atom of each set of equivalent atoms:
Tl1 0.0000 0.0000 0.0000 [1 per cell]  6 Au 2.92-3.22
Tl2 0.0502 0.2701 0.4332 [1 per cell]  5 Au 2.92-3.14
Tl3 0.3038 0.8339 0.7026 [1 per cell]  5 Au 2.91-3.12
Tl4 0.6879 0.3968 0.7033 [1 per cell]  6 Au 2.99-3.26
Pb1 0.6072 0.6691 0.2043 [1 per cell]  7 Au 2.94-3.25
Au1 0.0473 0.5552 0.1290 [1 per cell]  3 Tl 2.92-3.22, 3 Au 2.95-3.09, 2 Pb 3.05-3.06
Au2 0.2448 0.3971 0.8508 [1 per cell]  5 Tl 2.91-3.13, 2 Au 2.93-2.95, 1 Pb 2.98
Au3 0.3848 0.0123 0.3581 [1 per cell]  3 Au 2.86-3.09, 4 Tl 2.94-3.20, 1 Pb 3.14
Au4 0.5910 0.1628 0.0661 [1 per cell]  3 Au 2.88-2.99, 4 Tl 3.01-3.22
Au5 0.7848 0.8700 0.5965 [1 per cell]  1 Au 2.86, 5 Tl 2.92-3.12, 1 Pb 2.94

As for the formation enthalpy at 0 K: -0.02 eV/atom.

---

Record 2
This record from the Alexandria database describes a relaxed Tl3PbAu crystal. The functional is GGA-PBE.

abc: 6.0351 6.6886 7.2563
angles: 90.00 94.34 90.00
Last column: nearest neighbours and their distance in Å.
Space group P2_1/m (No. 11)
One atom of each set of equivalent atoms:
Tl1 0.1010 0.0009 0.2146 [4 per cell]  2 Au 3.02-3.06, 3 Tl 3.26-3.36
Tl2 0.3578 0.7500 0.6081 [2 per cell]  1 Au 2.99
Pb1 0.4496 0.2500 0.9161 [2 per cell]  1 Au 2.90
Au1 0.2033 0.2500 0.5572 [2 per cell]  1 Pb 2.90, 5 Tl 2.99-3.06

The energy above the most stable polymorph in this dataset is 0.022 eV per atom. As for the formation enthalpy at 0 K: 0.00 eV/atom.

---

Record 3
This record from the Alexandria database describes a relaxed Tl2PbAu3 crystal. The functional is GGA-PBE.

abc: 14.2823 8.0700 5.5505
angles: 90.00 90.00 90.00
Last column: nearest neighbours and their distance in Å.
Space group Cmcm (No. 63)
One atom of each set of equivalent atoms:
Tl1 0.1655 0.1647 0.2500 [8 per cell]  6 Au 3.04-3.07
Pb1 0.0000 0.3420 0.7500 [4 per cell]  6 Au 3.03-3.09
Au1 0.0000 0.0000 0.0000 [4 per cell]  2 Au 2.78, 4 Tl 3.05, 2 Pb 3.09
Au2 0.1665 0.5000 0.0000 [8 per cell]  2 Au 2.78, 2 Pb 3.03, 4 Tl 3.04-3.07

As for the formation enthalpy at 0 K: -0.04 eV/atom.

---

Record 4
This record from the Alexandria database describes a relaxed TlPb2Au crystal. The functional is GGA-PBE.

abc: 3.5925 3.5925 30.3461
angles: 90.00 90.00 120.00
Last column: nearest neighbours and their distance in Å.
Space group R3m (No. 160, hexagonal axes)
One atom of each set of equivalent atoms:
Tl1 0.0000 0.0000 0.0000 [3 per cell]  3 Au 3.00
Pb1 0.0000 0.0000 0.2384 [3 per cell]  3 Tl 3.55, 9 Pb 3.57-3.59
Pb2 0.0000 0.0000 0.4760 [3 per cell]  3 Au 2.99
Au1 0.0000 0.0000 0.7381 [3 per cell]  3 Pb 2.99, 3 Tl 3.00

The energy above the most stable polymorph in this dataset is 0.088 eV per atom. As for the formation enthalpy at 0 K: 0.02 eV/atom.

---

Record 5
This record from the Alexandria database describes a relaxed TlPbAu10 crystal. The functional is GGA-PBE.

abc: 4.6637 5.7208 9.7720
angles: 90.00 90.00 90.00
Last column: nearest neighbours and their distance in Å.
Space group Pmmm (No. 47)
One atom of each set of equivalent atoms:
Tl1 0.0000 0.0000 0.0000 [1 per cell]  6 Au 3.21-3.29
Pb1 0.0000 0.5000 0.5000 [1 per cell]  14 Au 3.26-3.62
Au1 0.0000 0.0000 0.3288 [2 per cell]  6 Au 2.84-2.87
Au2 0.0000 0.5000 0.1668 [2 per cell]  6 Au 2.85-2.86
Au3 0.5000 0.0000 0.5000 [1 per cell]  8 Au 2.79-2.87
Au4 0.5000 0.2553 0.2561 [4 per cell]  8 Au 2.79-2.92
Au5 0.5000 0.5000 0.0000 [1 per cell]  8 Au 2.85-2.87

As for the formation enthalpy at 0 K: 0.00 eV/atom.

---

Record 6
This record from the Alexandria database describes a relaxed Tl4Pb3Au crystal. The functional is GGA-PBE.

abc: 26.2155 5.1493 3.5851
angles: 90.00 97.74 90.00
Last column: nearest neighbours and their distance in Å.
Space group C2/m (No. 12)
One atom of each set of equivalent atoms:
Tl1 0.0931 0.0000 0.1047 [4 per cell]  2 Au 2.98-3.04, 1 Tl 3.28
Tl2 0.2195 0.0000 0.2189 [4 per cell]  7 Tl 3.28-3.59, 3 Pb 3.51-3.66
Pb1 0.0000 0.5000 0.0000 [2 per cell]  4 Au 3.14
Pb2 0.1456 0.5000 0.6565 [4 per cell]  9 Tl 3.42-3.70, 2 Pb 3.59
Au1 0.0000 0.0000 0.5000 [2 per cell]  4 Tl 2.98-3.04, 4 Pb 3.14

As for the formation enthalpy at 0 K: 0.04 eV/atom.